Record 1
6
Lattice="4.1387 0.0000 0.0000 0.0000 5.9661 0.0000 -2.0693 -2.9830 5.5320" Properties=species:S:1:pos:R:3 comment="Ce2As3Rh | Alexandria | PBE | relaxed" de_polymorph_mev_per_atom=26 crystal_system=orthorhombic total_magnetization_mub_per_cell=0.9 pbc="T T T"
Ce 2.0693 0.0000 1.9898
Ce 0.0000 2.9830 3.5422
As 0.0000 0.0000 4.0172
As 0.0000 0.0000 0.0000
As 2.0693 2.9830 1.5148
Rh 0.0000 2.9830 0.0000

Record 2
8
Lattice="-6.1379 2.3463 -0.8714 -2.2802 -6.1936 -0.6155 -4.8194 -2.0834 3.1256" Properties=species:S:1:pos:R:3 comment="ZrSb2C | Alexandria | PBE | relaxed" crystal_system=tetragonal total_magnetization_mub_per_cell=0.0 e_form_raw_ev_per_atom=0.645 pbc="T T T"
Sb -4.7948 -0.0317 0.2353
Sb -3.9285 -3.8955 0.2124
Sb -6.9687 -3.5414 1.7333
Sb -10.7830 -4.3928 1.0964
C -4.2090 -1.9236 -0.7435
C -5.6543 -5.1003 0.8833
Zr 0.0000 0.0000 0.0000
Zr -7.5832 -0.8304 0.7554